1.
Density functional theory data (PBE) for a geometry-optimized DyEr2Mg9 structure.

The structure in POSCAR format:
```
DyEr2Mg9
1.0
-1.2435 -5.8584 -0.6161
4.4330 -3.9167 -1.1201
2.3399 -4.5276 8.9128
Dy Mg Er
1 9 2
Cartesian
0.0000 0.0000 0.0000 Dy
3.6198 -9.1196 5.6364 Mg
1.2780 -8.1589 1.2272 Mg
4.1614 -7.1726 0.9713 Mg
2.1294 -6.5198 -1.1348 Mg
4.2514 -6.1439 5.9493 Mg
1.9096 -5.1831 1.5402 Mg
1.3680 -7.1301 6.2053 Mg
3.4000 -7.7829 8.3114 Mg
2.7647 -7.1514 3.5883 Mg
3.7392 -10.3216 2.3505 Er
1.7902 -3.9811 4.8261 Er
```

ΔH_f (0 K): -0.02 eV/atom


2.
Density functional theory data (PBE) for a geometry-optimized Sr5InPd2 structure.

The structure in POSCAR format:
```
Sr5InPd2
1.0
7.6147 0.0000 -3.5945
-1.6968 7.4232 -3.5945
-0.0544 -0.0683 9.7475
In Sr Pd
2 10 4
Cartesian
4.4112 5.5333 -0.5181 In
1.4523 1.8217 3.0765 In
1.3935 0.1925 6.2772 Sr
4.9245 1.4013 3.8946 Sr
0.9389 5.9536 -1.3362 Sr
4.4700 7.1625 -3.7188 Sr
3.0274 2.2420 -0.1243 Sr
-0.6950 3.9041 5.0653 Sr
0.0000 0.0000 0.0000 Sr
6.5584 3.4509 -2.5069 Sr
2.8361 5.1130 2.6827 Sr
2.9589 3.7116 -3.5945 Sr
0.2902 2.8039 -1.7973 Pd
1.3869 6.5155 -4.5127 Pd
4.5310 0.9077 -2.6763 Pd
5.6277 4.6193 -5.3918 Pd
```

ΔH_f (0 K): -0.49 eV/atom


3.
Density functional theory data (PBE) for a geometry-optimized Sr2Pt structure.

The structure in POSCAR format:
```
Sr2Pt
1.0
4.4958 0.0000 0.0000
0.0000 7.0578 0.0000
0.0000 0.0000 7.1749
Sr Pt
4 2
Cartesian
2.2479 5.4230 5.9590 Sr
2.2479 1.6348 1.2159 Sr
0.0000 5.1637 2.3716 Sr
0.0000 1.8941 4.8033 Sr
2.2479 3.5289 3.5875 Pt
0.0000 0.0000 0.0000 Pt
```

ΔH_f (0 K): -0.67 eV/atom


4.
Density functional theory data (PBE) for a geometry-optimized LiAc3Mo2N6 structure.

The structure in POSCAR format:
```
LiAc3Mo2N6
1.0
-2.5151 -3.4061 4.1921
2.8639 -2.5298 -4.5716
5.9236 0.1148 3.6473
N Ac Mo Li
6 3 2 1
Cartesian
3.7032 -2.6426 -2.0357 N
2.5691 -3.1785 5.3035 N
3.9965 -4.4393 3.0251 N
2.2759 -1.3818 0.2427 N
2.4497 -4.3402 0.0536 N
3.8226 -1.4809 3.2142 N
4.9966 -2.7458 0.7668 Ac
0.0000 0.0000 0.0000 Ac
1.2757 -3.0753 2.5010 Ac
2.2648 -2.7988 -0.9153 Mo
4.0076 -3.0223 4.1831 Mo
2.9618 0.0574 1.8236 Li
```

uncorrected formation energy: -0.7706 eV per atom


5.
Density functional theory data (PBE) for a geometry-optimized LiBiPb4 structure.

The structure in POSCAR format:
```
LiBiPb4
1.0
-3.4742 -0.5937 -0.5095
3.3593 -8.4784 -0.5809
-1.3896 -1.3039 10.9956
Pb Li Bi
8 2 2
Cartesian
-0.0139 -6.9386 8.1806 Pb
-1.6345 -1.3096 0.2255 Pb
-1.0996 -1.1217 8.8054 Pb
-1.6160 -3.5550 2.7164 Pb
-0.5762 -7.0268 -0.3287 Pb
-0.5481 -9.3886 2.2318 Pb
-0.3753 -2.8302 5.8573 Pb
0.6806 -8.5498 5.3224 Pb
0.6406 -3.9097 0.1880 Li
-1.5904 -5.9458 5.3275 Li
0.6083 -6.0854 2.9433 Bi
-2.2986 -4.4648 8.4311 Bi
```

ΔH_f (0 K): -0.05 eV/atom
polymorph energy (0 for the lowest one): 0.00 eV per formula unit


6.
Density functional theory data (PBE) for a geometry-optimized BaLi2Pt structure.

The structure in POSCAR format:
```
BaLi2Pt
1.0
4.1823 0.0000 0.0000
0.0000 4.1186 0.0619
0.0000 1.7283 6.4288
Ba Pt Li
1 1 2
Cartesian
2.0911 4.2279 4.2862 Ba
0.0000 2.1899 2.8608 Pt
2.0911 2.1955 1.4123 Li
0.0000 4.2757 1.2386 Li
```

ΔH_f (0 K): -0.39 eV/atom
polymorph energy (0 for the lowest one): 0.21 eV per formula unit


no.,energy (eV per atom)
1,-2.362
2,-3.185
3,-3.805
4,-7.925
5,-3.491
6,-3.338